LaGe2IrPd: optimized geometry, PBE-GGA.

Structure (POSCAR):
```
LaGe2IrPd
1.0
4.421 0.000 0.000
0.000 4.421 0.000
0.000 0.000 9.978
La Ge Ir Pd
2 4 2 2
direct
0.250 0.250 0.243 La
0.750 0.750 0.757 La
0.250 0.250 0.632 Ge
0.250 0.750 0.000 Ge
0.750 0.250 0.000 Ge
0.750 0.750 0.368 Ge
0.250 0.250 0.877 Ir
0.750 0.750 0.123 Ir
0.250 0.750 0.500 Pd
0.750 0.250 0.500 Pd
```

Calculated values
Its final energy is -6.486 eV/atom.